First-principles (PBE) data for crystalline CaNdGaNi at its relaxed geometry, as listed in Alexandria via LeMat-Bulk.

Calculated values
The value obtained for the density of states at the Fermi level is 0.976 states/eV/atom. The energy of formation from the pure elements comes out at -279 meV/atom.

CIF file:
```
data_CaNdGaNi
_chemical_formula_sum 'Ca4 Nd4 Ga4 Ni4'
_space_group_name_H-M_alt 'F -4 3 m'
_space_group_IT_number 216
_space_group_name_Hall 'F -4 2 3'
_cell_length_a 7.157
_cell_length_b 7.157
_cell_length_c 7.157
_cell_angle_alpha 90.00
_cell_angle_beta 90.00
_cell_angle_gamma 90.00
loop_
_atom_site_label
_atom_site_type_symbol
_atom_site_fract_x
_atom_site_fract_y
_atom_site_fract_z
Ca1 Ca 0.000 0.000 0.000
Nd1 Nd 0.000 0.000 0.500
Ga1 Ga 0.250 0.250 0.250
Ni1 Ni 0.250 0.250 0.750
```